The following is a DFT calculation (GGA+U) of a relaxed BaFeN2F crystal.

extended XYZ file:
```
5
Lattice="3.607 0.000 0.000 0.000 3.607 0.000 0.000 0.000 6.003" Properties=species:S:1:pos:R:3 pbc="T T T"
Ba 0.000 0.000 0.000
Fe 0.000 0.000 3.002
N 0.000 1.804 3.002
N 1.804 0.000 3.002
F 1.804 1.804 0.000
```

Calculated values
**Volume**: 15.63 Å³/atom
**Final energy**: -5.265 eV per atom
**Space-group type**: P4/mmm, No. 123